# YTcRu PBE optimized geometry
# - electronic total energy (eV per atom) = -8.3153
# - symmetry = F-43m
# - ΔE to the lowest computed polymorph (meV per atom) = 626
data_YTcRu
_chemical_formula_sum 'Y1 Tc1 Ru1'
_cell_length_a 4.446
_cell_length_b 4.446
_cell_length_c 4.446
_cell_angle_alpha 60.00
_cell_angle_beta 60.00
_cell_angle_gamma 60.00
_symmetry_space_group_name_H-M 'P 1'
_symmetry_Int_Tables_number 1
loop_
_symmetry_equiv_pos_as_xyz
'x,y,z'
loop_
_atom_site_label
_atom_site_type_symbol
_atom_site_fract_x
_atom_site_fract_y
_atom_site_fract_z
Y1 Y 0.000 0.000 0.000
Tc1 Tc 0.500 0.500 0.500
Ru1 Ru 0.250 0.250 0.250